1.
Material: FeRuC2
Method: DFT, PBE
State: relaxed

## Properties
E_form, meV per atom: 483
E above lowest polymorph, kJ/mol of atoms: 0.00

a b c (Å): 4.4126 4.4126 5.4006
angles (deg): 65.89 65.89 90.00
Sites, in units of the cell vectors:
Fe1 0.5000 0.5000 0.0000
Fe2 0.2500 0.7500 0.5000
Ru1 0.0000 0.0000 0.0000
Ru2 0.7500 0.2500 0.5000
C1 0.1465 0.6250 0.2500
C2 0.8750 0.8535 0.7500
C3 0.3750 0.3965 0.7500
C4 0.6035 0.1250 0.2500

=====

2.
Material: FeRuC3
Method: DFT, PBE
State: relaxed

## Properties
E_form, meV per atom: 2088
E above lowest polymorph, kJ/mol of atoms: 0.00

a b c (Å): 3.6886 3.6886 3.6886
angles (deg): 90.00 90.00 90.00
Last column: magnetic moment on the atom in μB.
Sites, in units of the cell vectors:
Ru1 0.5000 0.5000 0.5000  1.18
C1 0.0000 0.0000 0.5000  -0.03
C2 0.5000 0.0000 0.0000  -0.03
C3 0.0000 0.5000 0.0000  -0.05
Fe1 0.0000 0.0000 0.0000  -0.26

=====

3.
Material: FeRuC3
Method: DFT, PBE
State: relaxed

## Properties
E_form, meV per atom: 2501
E above lowest polymorph, kJ/mol of atoms: 39.92

a b c (Å): 3.9172 3.9172 3.9172
angles (deg): 90.00 90.00 90.00
Last column: magnetic moment on the atom in μB.
Sites, in units of the cell vectors:
Fe1 0.5000 0.5000 0.5000  0.09
Ru1 0.0000 0.0000 0.0000  -0.09
C1 0.0000 0.5000 0.0000  -0.01
C2 0.0000 0.0000 0.5000  -0.04
C3 0.5000 0.0000 0.0000  0.01

=====

4.
Material: FeRuC2
Method: DFT, PBE
State: relaxed

## Properties
E_form, meV per atom: 1084
E above lowest polymorph, kJ/mol of atoms: 57.98

a b c (Å): 3.6413 3.6413 3.6413
angles (deg): 60.00 60.00 60.00
Sites, in units of the cell vectors:
C1 0.7500 0.7500 0.7500
C2 0.2500 0.2500 0.2500
Fe1 0.0000 0.0000 0.0000
Ru1 0.5000 0.5000 0.5000

=====

5.
Material: Fe2RuCS
Method: DFT, PBE
State: relaxed

## Properties
E_form (uncorrected), eV per atom: 2.03

a b c (Å): 4.8062 4.2244 4.8062
angles (deg): 90.00 90.00 90.00
Last column: magnetic moment on the atom in μB.
Sites, in units of the cell vectors:
Fe1 0.0000 0.0000 0.5000  3.47
Fe2 0.5000 0.0000 0.0000  3.17
C1 0.5000 0.5000 0.5000  -0.85
S1 0.0000 0.5000 0.0000  -0.05
Ru1 0.0000 0.0000 0.0000  0.33

=====

6.
Material: Sc2FeRuC
Method: DFT, PBE
State: relaxed

## Properties
E_form, meV per atom: -312

a b c (Å): 4.5335 4.5335 3.5544
angles (deg): 90.00 90.00 90.00
Sites, in units of the cell vectors:
Sc1 0.5000 0.0000 0.0000
Sc2 0.0000 0.5000 0.0000
Fe1 0.0000 0.0000 0.5000
C1 0.0000 0.0000 0.0000
Ru1 0.5000 0.5000 0.5000

=====

Number 1: E -8.56 eV/atom. Number 2: E -6.99 eV/atom. Number 3: E -6.58 eV/atom. Number 4: E -7.96 eV/atom. Number 5: E -5.88 eV/atom. Number 6: E -8.24 eV/atom.